Fe3I3O after structural relaxation. Source: Alexandria via LeMat-Bulk, functional PBE+U.

Results
The total energy is -4.182 eV/atom. As for the density of states at the Fermi level: 2.0 states/eV/cell.

```
Fe3I3O
1.0
8.3839 0.0000 0.0000
0.0000 6.2271 0.0000
-4.1863 0.0000 7.4564
Fe I O
6 6 2
direct
0.0710 0.2500 0.3022
0.2682 0.7500 0.6968
0.3146 0.7500 0.1280
0.6854 0.2500 0.8720
0.7318 0.2500 0.3032
0.9290 0.7500 0.6978
0.1355 0.7500 0.3245
0.3103 0.2500 0.6746
0.3371 0.2500 0.1734
0.6629 0.7500 0.8266
0.6897 0.7500 0.3254
0.8645 0.2500 0.6755
0.1862 0.7500 0.8721
0.8138 0.2500 0.1279
```